1.
Material: SrLi2Au
Method: DFT, PBE
State: relaxed

Geometry as CIF:
```
data_SrLi2Au
_chemical_formula_sum 'Sr4 Li8 Au4'
_space_group_name_H-M_alt 'F -4 3 m'
_space_group_IT_number 216
_space_group_name_Hall 'F -4 2 3'
_cell_length_a 7.235
_cell_length_b 7.235
_cell_length_c 7.235
_cell_angle_alpha 90.00
_cell_angle_beta 90.00
_cell_angle_gamma 90.00
loop_
_atom_site_label
_atom_site_fract_x
_atom_site_fract_y
_atom_site_fract_z
Sr1 0.000 0.000 0.000
Li1 0.000 0.000 0.500
Li2 0.250 0.250 0.750
Au1 0.250 0.250 0.250
```


2.
Material: SmErO4
Method: DFT, PBE
State: relaxed

Geometry as CIF:
```
data_SmErO4
_chemical_formula_sum 'Sm2 Er2 O8'
_space_group_name_H-M_alt 'C 1 m 1'
_space_group_IT_number 8
_cell_length_a 6.805
_cell_length_b 3.741
_cell_length_c 6.190
_cell_angle_alpha 90.00
_cell_angle_beta 96.39
_cell_angle_gamma 90.00
loop_
_space_group_symop_operation_xyz
'x,y,z'
'x,-y,z'
'x+1/2,y+1/2,z'
'x+1/2,-y+1/2,z'
loop_
_atom_site_label
_atom_site_fract_x
_atom_site_fract_y
_atom_site_fract_z
Sm1 0.000 0.000 0.000
Er1 0.367 0.000 0.459
O1 0.038 0.000 0.383
O2 0.095 0.500 0.775
O3 0.276 0.500 0.662
O4 0.332 0.000 0.092
```


3.
Material: Cs2TaInO4
Method: DFT, PBE
State: relaxed

Geometry as CIF:
```
data_Cs2TaInO4
_chemical_formula_sum 'Cs4 Ta2 In2 O8'
_space_group_name_H-M_alt 'I m m 2'
_space_group_IT_number 44
_cell_length_a 6.266
_cell_length_b 8.754
_cell_length_c 6.774
_cell_angle_alpha 90.00
_cell_angle_beta 90.00
_cell_angle_gamma 90.00
loop_
_space_group_symop_operation_xyz
'x,y,z'
'-x,-y,z'
'-x,y,z'
'x,-y,z'
'x+1/2,y+1/2,z+1/2'
'-x+1/2,-y+1/2,z+1/2'
'-x+1/2,y+1/2,z+1/2'
'x+1/2,-y+1/2,z+1/2'
loop_
_atom_site_label
_atom_site_fract_x
_atom_site_fract_y
_atom_site_fract_z
Cs1 0.000 0.247 0.000
Ta1 0.000 0.500 0.433
In1 0.000 0.000 0.532
O1 0.000 0.323 0.584
O2 0.245 0.500 0.272
```


4.
Material: Lu4NiGeC2
Method: DFT, PBE
State: relaxed

Geometry as CIF:
```
data_Lu4NiGeC2
_chemical_formula_sum 'Lu4 Ni1 Ge1 C2'
_space_group_name_H-M_alt 'P -6 m 2'
_space_group_IT_number 187
_space_group_name_Hall 'P -6 2'
_cell_length_a 3.4987
_cell_length_b 3.4987
_cell_length_c 13.7800
_cell_angle_alpha 90.00
_cell_angle_beta 90.00
_cell_angle_gamma 120.00
loop_
_atom_site_label
_atom_site_fract_x
_atom_site_fract_y
_atom_site_fract_z
Lu1 0.0000 0.0000 0.1418
Lu2 0.3333 0.6667 0.3318
Ni1 0.3333 0.6667 0.0000
Ge1 0.0000 0.0000 0.5000
C1 0.6667 0.3333 0.2377
```


5.
Material: La2AlGaPt4
Method: DFT, PBE
State: relaxed

Geometry as CIF:
```
data_La2AlGaPt4
_chemical_formula_sum 'La2 Al1 Ga1 Pt4'
_space_group_name_H-M_alt 'P -3 m 1'
_space_group_IT_number 164
_space_group_name_Hall '-P 3 2"'
_cell_length_a 4.4123
_cell_length_b 4.4123
_cell_length_c 9.9294
_cell_angle_alpha 90.00
_cell_angle_beta 90.00
_cell_angle_gamma 120.00
loop_
_atom_site_label
_atom_site_fract_x
_atom_site_fract_y
_atom_site_fract_z
La1 0.3333 0.6667 0.2487
Al1 0.0000 0.0000 0.5000
Ga1 0.0000 0.0000 0.0000
Pt1 0.3333 0.6667 0.5678
Pt2 0.3333 0.6667 0.9305
```


6.
Material: Rb2MoCl6
Method: DFT, PBE
State: relaxed

Geometry as CIF:
```
data_Rb2MoCl6
_chemical_formula_sum 'Rb4 Mo2 Cl12'
_space_group_name_H-M_alt 'C 1 2/m 1'
_space_group_IT_number 12
_cell_length_a 12.374
_cell_length_b 7.155
_cell_length_c 7.154
_cell_angle_alpha 90.00
_cell_angle_beta 125.19
_cell_angle_gamma 90.00
loop_
_space_group_symop_operation_xyz
'x,y,z'
'-x,-y,-z'
'-x,y,-z'
'x,-y,z'
'x+1/2,y+1/2,z'
'-x+1/2,-y+1/2,-z'
'-x+1/2,y+1/2,-z'
'x+1/2,-y+1/2,z'
loop_
_atom_site_label
_atom_site_fract_x
_atom_site_fract_y
_atom_site_fract_z
Rb1 0.248 0.000 0.248
Mo1 0.000 0.500 0.000
Cl1 0.007 0.264 0.770
Cl2 0.236 0.500 0.249
```


7.
# Dy2ZnCdIr4 | the Open Quantum Materials Database | PBE | relaxed
# * DFT formation energy: -0.34 eV/atom
data_Dy2ZnCdIr4
_chemical_formula_sum 'Dy2 Zn1 Cd1 Ir4'
_space_group_name_H-M_alt 'P 4/m m m'
_space_group_IT_number 123
_space_group_name_Hall '-P 4 2'
_cell_length_a 4.639
_cell_length_b 4.639
_cell_length_c 6.597
_cell_angle_alpha 90.00
_cell_angle_beta 90.00
_cell_angle_gamma 90.00
loop_
_atom_site_label
_atom_site_fract_x
_atom_site_fract_y
_atom_site_fract_z
Dy1 0.000 0.000 0.000
Dy2 0.500 0.500 0.500
Zn1 0.000 0.000 0.500
Cd1 0.500 0.500 0.000
Ir1 0.000 0.500 0.261


8.
Material: Ho3LuTl2C2
Method: DFT, PBE
State: relaxed

Geometry as CIF:
```
data_Ho3LuTl2C2
_chemical_formula_sum 'Ho3 Lu1 Tl2 C2'
_space_group_name_H-M_alt 'P 3 m 1'
_space_group_IT_number 156
_cell_length_a 3.5781
_cell_length_b 3.5781
_cell_length_c 16.1300
_cell_angle_alpha 90.00
_cell_angle_beta 90.00
_cell_angle_gamma 120.00
loop_
_space_group_symop_operation_xyz
'x,y,z'
'-y,x-y,z'
'-x+y,-x,z'
'-y,-x,z'
'-x+y,y,z'
'x,x-y,z'
loop_
_atom_site_label
_atom_site_fract_x
_atom_site_fract_y
_atom_site_fract_z
Ho1 0.0000 0.0000 0.0000
Ho2 0.0000 0.0000 0.3354
Ho3 0.6667 0.3333 0.8329
Lu1 0.6667 0.3333 0.4994
Tl1 0.0000 0.0000 0.6648
Tl2 0.6667 0.3333 0.1672
C1 0.3333 0.6667 0.4185
C2 0.3333 0.6667 0.9165
```


E across the listed records, respectively: -2.49; -7.79; -6.56; -6.26; -6.17; -4.06; -6.19; -5.58 eV per atom.